VASP calculation (PBE) on a relaxed structure of LiSmBi.

Unit cell a=7.5127 b=4.6580 c=13.2346 alpha=90.00 beta=90.29 gamma=90.00
With the nearest neighbours (Å) after each atom.
Space group P2_1/m (No. 11)
Inequivalent atoms, fractional coordinates:
Li: 0.0075 0.2500 0.4026 x2  4 Bi 2.82-3.02, 1 Li 2.96
Li: 0.1840 0.2500 0.0500 x2  4 Bi 2.78-3.07
Li: 0.3477 0.7500 0.6957 x2  3 Bi 2.84-2.85, 1 Li 2.96
Sm: 0.0040 0.2500 0.8152 x2  3 Li 3.26-3.38, 5 Bi 3.28-3.30
Sm: 0.3401 0.7500 0.4280 x2  5 Bi 3.27-3.37, 4 Li 3.43-3.54
Sm: 0.4957 0.7500 0.1306 x2  5 Bi 3.26-3.30, 5 Li 3.40-3.47
Bi: 0.2174 0.2500 0.5977 x2  5 Li 2.84-3.02
Bi: 0.2245 0.7500 0.9373 x2  3 Li 2.78-3.07
Bi: 0.2813 0.2500 0.2573 x2  3 Li 2.82-2.85

Values from the calculation:
The calculation puts the density of states at the Fermi level at 13.9 states/eV/cell. The calculated density comes out at 7.88 g/cm³. For the total magnetic moment, the calculation gives 0.06 μB per formula unit. The calculation puts the formation energy from the elements at -0.666 eV per atom.